Ti2GaB, relaxed, DFT GGA-PBE; uncorrected energy = -51.2 eV/cell; crystal system = tetragonal; ΔE to the lowest computed polymorph = 0.398 eV/atom; volume = 114.9 Å³ per cell
1.0
-3.6326 4.2347 -3.4242
-0.0419 -4.1376 -5.0727
-4.0678 -1.0954 -3.2969
Ga Ti B
2 4 2
direct
0.7500 0.2500 0.5000 Ga
0.0000 0.0000 0.0000 Ga
0.5851 0.1250 0.2500 Ti
0.8750 0.8351 0.7500 Ti
0.3750 0.4149 0.7500 Ti
0.1649 0.6250 0.2500 Ti
0.5000 0.5000 0.0000 B
0.2500 0.7500 0.5000 B